First-principles (PBE-GGA) data for a relaxed structure of TbY2Ir2, as listed in Alexandria.

## Properties
- E_tot (eV for the cell shown) = -148.7
- E_form (meV per atom) = -378
- size of the total moment (μB/f.u.) = 0.00

```
data_TbY2Ir2
_symmetry_space_group_name_H-M 'C m c m'
_symmetry_Int_Tables_number 63
_symmetry_space_group_name_Hall '-C 2c 2'
_cell_length_a 6.0141
_cell_length_b 14.5354
_cell_length_c 5.5317
_cell_angle_alpha 90.00
_cell_angle_beta 90.00
_cell_angle_gamma 90.00
loop_
_atom_site_label
_atom_site_type_symbol
_atom_site_fract_x
_atom_site_fract_y
_atom_site_fract_z
_atom_site_occupancy
Tb1 Tb 0.0000 0.0000 0.0000 1
Y1 Y 0.0000 0.2181 0.2500 1
Y2 Y 0.0000 0.4194 0.7500 1
Ir1 Ir 0.2356 0.3770 0.2500 1
```